The following is a DFT calculation (meta-GGA SCAN) of a PBEsol-optimized structure of HRu2Se. Values from VASP.

```
&SYSTEM
  ibrav = 0, nat = 4, ntyp = 3
/
ATOMIC_SPECIES
Ru 101.07 Ru.upf
Se 78.96 Se.upf
H 1.01 H.upf
ATOMIC_POSITIONS crystal
Ru 0.750 0.750 0.750
Se 0.500 0.500 0.500
H 0.000 0.000 0.000
Ru 0.250 0.250 0.250
CELL_PARAMETERS angstrom
-3.558 -0.984 -1.626
-2.229 -2.932 1.646
-3.422 0.911 1.932
```

Calculated values
* size of the total moment: 0.000 Bohr magnetons per cell
* symmetry: No. 225
* N(E_F): 3.0 states/eV/cell



The following is a DFT calculation (meta-GGA SCAN) of a PBEsol-optimized structure of BaYSe2. Values from VASP.

```
&SYSTEM
  ibrav = 0, nat = 4, ntyp = 3
/
ATOMIC_SPECIES
Se 78.96 Se.upf
Y 88.91 Y.upf
Ba 137.33 Ba.upf
ATOMIC_POSITIONS crystal
Se 0.217 0.783 0.783
Y 0.500 0.000 0.000
Se 0.783 0.217 0.217
Ba 0.000 0.500 0.500
CELL_PARAMETERS angstrom
-2.655 -3.298 -1.203
1.509 -4.953 2.195
-3.477 -1.636 4.106
```

Calculated values
* size of the total moment: 0.740 Bohr magnetons per cell
* symmetry: No. 71
* energy relative to the elements, uncorrected: -1734 meV/atom
* N(E_F): 1.5 states/eV/cell



The following is a DFT calculation (meta-GGA SCAN) of a PBEsol-optimized structure of MnFe2Ag. Values from VASP.

```
&SYSTEM
  ibrav = 0, nat = 4, ntyp = 3
/
ATOMIC_SPECIES
Fe 55.84 Fe.upf
Ag 107.87 Ag.upf
Mn 54.94 Mn.upf
ATOMIC_POSITIONS crystal
Fe 0.257 0.513 0.279
Fe 0.743 0.487 0.721
Ag 0.500 0.000 0.000
Mn 0.000 0.000 0.500
CELL_PARAMETERS angstrom
2.633 0.000 0.000
-1.317 4.299 0.023
0.000 -0.890 4.438
```

Calculated values
* size of the total moment: 1.824 Bohr magnetons per cell
* symmetry: No. 12
* N(E_F): 3.6 states/eV/cell



The following is a DFT calculation (meta-GGA SCAN) of a PBEsol-optimized structure of MgFeCo2. Values from VASP.

```
&SYSTEM
  ibrav = 0, nat = 4, ntyp = 3
/
ATOMIC_SPECIES
Mg 24.30 Mg.upf
Co 58.93 Co.upf
Fe 55.84 Fe.upf
ATOMIC_POSITIONS crystal
Mg 0.000 0.000 0.000
Co 0.243 0.243 0.270
Co 0.757 0.757 0.730
Fe 0.500 0.500 0.500
CELL_PARAMETERS angstrom
2.638 0.000 0.000
1.319 2.284 0.000
1.319 0.761 8.111
```

Calculated values
* size of the total moment: 6.147 Bohr magnetons per cell
* symmetry: No. 166
* N(E_F): 1.6 states/eV/cell



In order of appearance, raw total energy = -22.806; -28.621; -21.154; -14.251 eV/atom.